The following is a PBEsol calculation of Ba2AlHg after structural relaxation, from Alexandria.

Results
- N(E_F): 0.742 states/eV per atom
- VASP energy: -2.52 eV per atom
- Spin magnetization: 0.00 μB per formula unit
- Calculated volume: 137 Å³/f.u.

Cell lengths 8.192, 8.192, 8.192 Å; angles 90.00, 90.00, 90.00 degrees
Space group Fm-3m (No. 225)
Symmetry-distinct sites (fractional):
Ba 0.250 0.250 0.250 x8
Al 0.000 0.000 0.000 x4
Hg 0.000 0.000 0.500 x4